[1]
This record from the Alexandria database describes a geometry-optimized Ti5Mo2 structure. The functional is PBE.

Cell lengths 3.1180, 3.1180, 24.1215 Å; angles 90.00, 90.00, 90.00 degrees
Closest atoms and distances in Å follow each position.
Fractional coordinates of all 14 atoms:
Ti: 0.0000 0.0000 0.0000  12 Ti 2.86-3.12
Ti: 0.0000 0.0000 0.1505  4 Mo 2.75, 4 Ti 2.85
Ti: 0.0000 0.0000 0.4247  12 Ti 2.85-3.12
Ti: 0.0000 0.0000 0.5753  12 Ti 2.85-3.12
Ti: 0.0000 0.0000 0.8495  4 Mo 2.75, 4 Ti 2.85
Ti: 0.5000 0.5000 0.0753  12 Ti 2.85-3.12
Ti: 0.5000 0.5000 0.3495  4 Mo 2.75, 4 Ti 2.85
Ti: 0.5000 0.5000 0.5000  12 Ti 2.86-3.12
Ti: 0.5000 0.5000 0.6505  4 Mo 2.75, 4 Ti 2.85
Ti: 0.5000 0.5000 0.9247  12 Ti 2.85-3.12
Mo: 0.0000 0.0000 0.2816  4 Mo 2.68, 4 Ti 2.75
Mo: 0.0000 0.0000 0.7184  4 Mo 2.68, 4 Ti 2.75
Mo: 0.5000 0.5000 0.2184  4 Mo 2.68, 4 Ti 2.75
Mo: 0.5000 0.5000 0.7816  4 Mo 2.68, 4 Ti 2.75

Crystal system: tetragonal

=====

[2]
This record from the Alexandria database describes a geometry-optimized Ti4Mo3 structure. The functional is PBE.

Cell lengths 7.7225, 4.4795, 7.0203 Å; angles 90.00, 111.34, 90.00 degrees
Closest atoms and distances in Å follow each position.
Fractional coordinates of all 14 atoms:
Ti: 0.0689 0.0000 0.2081  5 Ti 2.72-2.79, 3 Mo 2.73-2.74
Ti: 0.2107 0.0000 0.6319  4 Mo 2.71-2.84, 4 Ti 2.77-2.79
Ti: 0.2893 0.5000 0.3681  4 Mo 2.71-2.84, 4 Ti 2.77-2.79
Ti: 0.4311 0.5000 0.7919  5 Ti 2.72-2.79, 3 Mo 2.73-2.74
Ti: 0.5689 0.5000 0.2081  5 Ti 2.72-2.79, 3 Mo 2.73-2.74
Ti: 0.7107 0.5000 0.6319  4 Mo 2.71-2.84, 4 Ti 2.77-2.79
Ti: 0.7893 0.0000 0.3681  4 Mo 2.71-2.84, 4 Ti 2.77-2.79
Ti: 0.9311 0.0000 0.7919  5 Ti 2.72-2.79, 3 Mo 2.73-2.74
Mo: 0.0000 0.5000 0.5000  6 Ti 2.71-2.72, 2 Mo 2.83
Mo: 0.1446 0.5000 0.9333  4 Mo 2.72-2.83, 4 Ti 2.73-2.84
Mo: 0.3554 0.0000 0.0667  4 Mo 2.72-2.83, 4 Ti 2.73-2.84
Mo: 0.5000 0.0000 0.5000  6 Ti 2.71-2.72, 2 Mo 2.83
Mo: 0.6446 0.0000 0.9333  4 Mo 2.72-2.83, 4 Ti 2.73-2.84
Mo: 0.8554 0.5000 0.0667  4 Mo 2.72-2.83, 4 Ti 2.73-2.84

Crystal system: monoclinic
Relative energy among the computed polymorphs, meV/atom: 28

=====

| no. | density of states at the Fermi level (states/eV/atom) | density (Mg/m³) | electronic total energy (eV per atom) |
| --- | --- | --- | --- |
| 1 | 1.69 | 6.1 | -8.743 |
| 2 | 1.79 | 7.0 | -9.223 |